(1)
Compound: AcCeNd2Tl4
Source: the Alexandria database
Functional: PBE
Structure: optimized geometry

Its energy relative to the elements is -317 meV per atom. The space-group type is No. 166.

a = 9.7261 Å, b = 9.7261 Å, c = 9.7261 Å
α = 33.55°, β = 33.55°, γ = 33.55°
Atoms (fractional coordinates):
Ac  0.0000  0.0000  0.0000
Ce  0.5000  0.5000  0.5000
Nd  0.2498  0.2498  0.2498
Nd  0.7502  0.7502  0.7502
Tl  0.1274  0.1274  0.1274
Tl  0.3781  0.3781  0.3781
Tl  0.6219  0.6219  0.6219
Tl  0.8726  0.8726  0.8726

***

(2)
Compound: AcCeNdTl
Source: the Alexandria database
Functional: PBE
Structure: optimized geometry

Its energy relative to the elements is 40 meV per atom. The space-group type is No. 216.

a = 5.6929 Å, b = 5.6929 Å, c = 5.6929 Å
α = 60.00°, β = 60.00°, γ = 60.00°
Atoms (fractional coordinates):
Ac  0.0000  0.0000  0.0000
Ce  0.7500  0.7500  0.7500
Nd  0.2500  0.2500  0.2500
Tl  0.5000  0.5000  0.5000

***

(3)
Compound: AcCeNdTm
Source: the Alexandria database
Functional: PBE
Structure: optimized geometry

Its energy relative to the elements is 222 meV per atom. The space-group type is No. 216.

a = 5.8658 Å, b = 5.8658 Å, c = 5.8658 Å
α = 60.00°, β = 60.00°, γ = 60.00°
Atoms (fractional coordinates):
Ac  0.0000  0.0000  0.0000
Ce  0.7500  0.7500  0.7500
Nd  0.5000  0.5000  0.5000
Tm  0.2500  0.2500  0.2500

***

(4)
Compound: AcCeNdZn
Source: the Alexandria database
Functional: PBE
Structure: optimized geometry

Its energy relative to the elements is 190 meV per atom. The space-group type is No. 216.

a = 5.5805 Å, b = 5.5805 Å, c = 5.5805 Å
α = 60.00°, β = 60.00°, γ = 60.00°
Atoms (fractional coordinates):
Ac  0.0000  0.0000  0.0000
Ce  0.2500  0.2500  0.2500
Nd  0.7500  0.7500  0.7500
Zn  0.5000  0.5000  0.5000

***

(5)
Compound: Ac2CeNi3
Source: the Alexandria database
Functional: PBE
Structure: optimized geometry

Its energy relative to the elements is -188 meV per atom. The space-group type is No. 63.

a = 8.0860 Å, b = 8.0860 Å, c = 5.1340 Å
α = 90.00°, β = 90.00°, γ = 61.56°
Atoms (fractional coordinates):
Ac  0.0080  0.6683  0.7500
Ac  0.3317  0.9920  0.7500
Ac  0.6683  0.0080  0.2500
Ac  0.9920  0.3317  0.2500
Ce  0.3477  0.6523  0.2500
Ce  0.6523  0.3477  0.7500
Ni  0.0000  0.0000  0.0000
Ni  0.0000  0.0000  0.5000
Ni  0.3439  0.3439  0.0000
Ni  0.3439  0.3439  0.5000
Ni  0.6561  0.6561  0.0000
Ni  0.6561  0.6561  0.5000

***

(6)
Compound: AcCe2Ni9
Source: the Alexandria database
Functional: PBE
Structure: optimized geometry

Its energy relative to the elements is -330 meV per atom. The space-group type is No. 166.

a = 8.7464 Å, b = 8.7464 Å, c = 8.7464 Å
α = 33.47°, β = 33.47°, γ = 33.47°
Atoms (fractional coordinates):
Ac  0.0000  0.0000  0.0000
Ce  0.1400  0.1400  0.1400
Ce  0.8600  0.8600  0.8600
Ni  0.0834  0.5841  0.5841
Ni  0.3326  0.3326  0.3326
Ni  0.4159  0.4159  0.9166
Ni  0.4159  0.9166  0.4159
Ni  0.5000  0.5000  0.5000
Ni  0.5841  0.0834  0.5841
Ni  0.5841  0.5841  0.0834
Ni  0.6674  0.6674  0.6674
Ni  0.9166  0.4159  0.4159

***

(7)
Compound: AcCe2Ni
Source: the Alexandria database
Functional: PBE
Structure: optimized geometry

Its energy relative to the elements is -47 meV per atom. The space-group type is No. 123.

a = 3.6011 Å, b = 3.6011 Å, c = 8.5258 Å
α = 90.00°, β = 90.00°, γ = 90.00°
Atoms (fractional coordinates):
Ac  0.0000  0.0000  0.0000
Ce  0.5000  0.5000  0.3305
Ce  0.5000  0.5000  0.6695
Ni  0.0000  0.0000  0.5000

***

(8)
Compound: AcCe2Ni
Source: the Alexandria database
Functional: PBE
Structure: optimized geometry

Its energy relative to the elements is 140 meV per atom. The space-group type is No. 166.

a = 10.6096 Å, b = 10.6096 Å, c = 10.6096 Å
α = 20.26°, β = 20.26°, γ = 20.26°
Atoms (fractional coordinates):
Ac  0.0000  0.0000  0.0000
Ce  0.1125  0.1125  0.1125
Ce  0.8875  0.8875  0.8875
Ni  0.5000  0.5000  0.5000

***

(9)
Compound: Ac2CeNi
Source: the Alexandria database
Functional: PBE
Structure: optimized geometry

Its energy relative to the elements is 218 meV per atom. The space-group type is No. 166.

a = 11.0634 Å, b = 11.0634 Å, c = 11.0634 Å
α = 20.35°, β = 20.35°, γ = 20.35°
Atoms (fractional coordinates):
Ac  0.1110  0.1110  0.1110
Ac  0.8890  0.8890  0.8890
Ce  0.0000  0.0000  0.0000
Ni  0.5000  0.5000  0.5000

***

(10)
Compound: AcCe2Ni
Source: the Alexandria database
Functional: PBE
Structure: optimized geometry

Its energy relative to the elements is -3 meV per atom. The space-group type is No. 160.

a = 9.5716 Å, b = 9.5716 Å, c = 9.5716 Å
α = 23.39°, β = 23.39°, γ = 23.39°
Atoms (fractional coordinates):
Ac  0.0000  0.0000  0.0000
Ce  0.5579  0.5579  0.5579
Ce  0.7756  0.7756  0.7756
Ni  0.1664  0.1664  0.1664

***

(11)
Compound: AcCeNi4
Source: the Alexandria database
Functional: PBE
Structure: optimized geometry

Its energy relative to the elements is -248 meV per atom. The space-group type is No. 216.

a = 5.2164 Å, b = 5.2164 Å, c = 5.2164 Å
α = 60.00°, β = 60.00°, γ = 60.00°
Atoms (fractional coordinates):
Ac  0.0000  0.0000  0.0000
Ce  0.2500  0.2500  0.2500
Ni  0.1287  0.6238  0.6238
Ni  0.6238  0.1287  0.6238
Ni  0.6238  0.6238  0.1287
Ni  0.6238  0.6238  0.6238

***

(12)
Compound: AcCeNiPd
Source: the Alexandria database
Functional: PBE
Structure: optimized geometry

Its energy relative to the elements is -357 meV per atom. The space-group type is No. 216.

a = 5.1450 Å, b = 5.1450 Å, c = 5.1450 Å
α = 60.00°, β = 60.00°, γ = 60.00°
Atoms (fractional coordinates):
Ac  0.0000  0.0000  0.0000
Ce  0.5000  0.5000  0.5000
Ni  0.7500  0.7500  0.7500
Pd  0.2500  0.2500  0.2500

***

(13)
Compound: AcCeNiPt
Source: the Alexandria database
Functional: PBE
Structure: optimized geometry

Its energy relative to the elements is -530 meV per atom. The space-group type is No. 216.

a = 5.1370 Å, b = 5.1370 Å, c = 5.1370 Å
α = 60.00°, β = 60.00°, γ = 60.00°
Atoms (fractional coordinates):
Ac  0.0000  0.0000  0.0000
Ce  0.5000  0.5000  0.5000
Ni  0.7500  0.7500  0.7500
Pt  0.2500  0.2500  0.2500

***

(14)
Compound: AcCe2Si2Ni2
Source: the Alexandria database
Functional: PBE
Structure: optimized geometry

The calculation puts the energy relative to the elements, uncorrected at -617 meV per atom. The space-group type is No. 166.

a = 9.7384 Å, b = 9.7384 Å, c = 9.7384 Å
α = 24.93°, β = 24.93°, γ = 24.93°
Atoms (fractional coordinates):
Ac  0.0000  0.0000  0.0000
Ce  0.1384  0.1384  0.1384
Ce  0.8616  0.8616  0.8616
Si  0.2548  0.2548  0.2548
Si  0.7452  0.7452  0.7452
Ni  0.4150  0.4150  0.4150
Ni  0.5850  0.5850  0.5850

***

(15)
Compound: AcCeZnNi
Source: the Alexandria database
Functional: PBE
Structure: optimized geometry

Its energy relative to the elements is -112 meV per atom. The space-group type is No. 216.

a = 5.1924 Å, b = 5.1924 Å, c = 5.1924 Å
α = 60.00°, β = 60.00°, γ = 60.00°
Atoms (fractional coordinates):
Ac  0.0000  0.0000  0.0000
Ce  0.5000  0.5000  0.5000
Zn  0.7500  0.7500  0.7500
Ni  0.2500  0.2500  0.2500

***

(16)
Compound: Ac2CeO
Source: the Alexandria database
Functional: PBE
Structure: optimized geometry

The calculation puts the energy relative to the elements, uncorrected at -910 meV per atom. The space-group type is No. 166.

a = 10.4039 Å, b = 10.4039 Å, c = 10.4039 Å
α = 20.89°, β = 20.89°, γ = 20.89°
Atoms (fractional coordinates):
Ac  0.1167  0.1167  0.1167
Ac  0.8833  0.8833  0.8833
Ce  0.0000  0.0000  0.0000
O  0.5000  0.5000  0.5000

***

(17)
Compound: Ac3CeO7
Source: the Alexandria database
Functional: PBE
Structure: optimized geometry

The calculation puts the energy relative to the elements, uncorrected at -3205 meV per atom. The space-group type is No. 63.

a = 7.1170 Å, b = 7.1170 Å, c = 8.3263 Å
α = 90.00°, β = 90.00°, γ = 110.11°
Atoms (fractional coordinates):
Ac  0.0000  0.0000  0.0000
Ac  0.0000  0.0000  0.5000
Ac  0.0317  0.4985  0.7500
Ac  0.4985  0.0317  0.2500
Ac  0.5015  0.9683  0.7500
Ac  0.9683  0.5015  0.2500
Ce  0.5000  0.5000  0.0000
Ce  0.5000  0.5000  0.5000
O  0.1295  0.8705  0.2500
O  0.1340  0.8660  0.7500
O  0.1661  0.4107  0.0262
O  0.1661  0.4107  0.4738
O  0.4107  0.1661  0.5262
O  0.4107  0.1661  0.9738
O  0.4163  0.5837  0.7500
O  0.5837  0.4163  0.2500
O  0.5893  0.8339  0.0262
O  0.5893  0.8339  0.4738
O  0.8339  0.5893  0.5262
O  0.8339  0.5893  0.9738
O  0.8660  0.1340  0.2500
O  0.8705  0.1295  0.7500

***

(18)
Compound: Ac2CeO6
Source: the Alexandria database
Functional: PBE
Structure: optimized geometry

The calculation puts the energy relative to the elements, uncorrected at -2896 meV per atom. The space-group type is No. 71.

a = 7.0087 Å, b = 7.0087 Å, c = 7.0087 Å
α = 144.68°, β = 132.24°, γ = 60.78°
Atoms (fractional coordinates):
Ac  0.1677  0.1677  0.0000
Ac  0.8323  0.8323  0.0000
Ce  0.5000  0.5000  0.0000
O  0.1014  0.3443  0.7570
O  0.2917  0.0000  0.2917
O  0.4127  0.6557  0.7570
O  0.5873  0.3443  0.2430
O  0.7083  0.0000  0.7083
O  0.8986  0.6557  0.2430

***

(19)
Compound: AcCe2O
Source: the Alexandria database
Functional: PBE
Structure: optimized geometry

The calculation puts the energy relative to the elements, uncorrected at -734 meV per atom. The space-group type is No. 123.

a = 3.3099 Å, b = 3.3099 Å, c = 8.9236 Å
α = 90.00°, β = 90.00°, γ = 90.00°
Atoms (fractional coordinates):
Ac  0.0000  0.0000  0.0000
Ce  0.5000  0.5000  0.3353
Ce  0.5000  0.5000  0.6647
O  0.0000  0.0000  0.5000

***

(20)
Compound: Ac3CeO6
Source: the Alexandria database
Functional: PBE
Structure: optimized geometry

The calculation puts the energy relative to the elements, uncorrected at -3322 meV per atom. The space-group type is No. 148.

a = 7.3705 Å, b = 7.3705 Å, c = 7.3705 Å
α = 91.81°, β = 91.81°, γ = 91.81°
Atoms (fractional coordinates):
Ac  0.0545  0.7520  0.5618
Ac  0.2480  0.4382  0.9455
Ac  0.4382  0.9455  0.2480
Ac  0.5618  0.0545  0.7520
Ac  0.7520  0.5618  0.0545
Ac  0.9455  0.2480  0.4382
Ce  0.0000  0.0000  0.0000
Ce  0.5000  0.5000  0.5000
O  0.0320  0.6925  0.9027
O  0.0973  0.9680  0.3075
O  0.1924  0.4398  0.5918
O  0.3075  0.0973  0.9680
O  0.4082  0.8076  0.5602
O  0.4398  0.5918  0.1924
O  0.5602  0.4082  0.8076
O  0.5918  0.1924  0.4398
O  0.6925  0.9027  0.0320
O  0.8076  0.5602  0.4082
O  0.9027  0.0320  0.6925
O  0.9680  0.3075  0.0973

***

For each record above, in turn, the calculated density of states at the Fermi level values are 1.767; 2.583; 2.842; 2.572; 1.602; 1.100; 2.184; 2.950; 2.366; 2.771; 0.990; 2.188; 2.140; 1.098; 1.844; 2.055; 0.968; 0.680; 2.595; 0.273 states/eV per atom.